Entry 1:
Computed, not measured: crystalline TiAsN2 at its relaxed geometry at the PBE-GGA level of DFT.

## Properties
D(E_F): 0.504 states/eV per atom

```
8
Lattice="-0.230 1.890 -4.558 -4.867 -0.839 -0.102 -3.299 4.666 -0.575" Properties=species:S:1:pos:R:3 pbc="T T T"
N -1.566 2.156 -2.797
N -6.712 4.458 -4.505
N -4.608 3.855 -2.184
N -3.906 0.965 -0.986
As 0.000 0.000 0.000
As -3.039 3.541 -3.732
Ti -5.357 2.176 -1.504
Ti -2.548 0.525 -2.330
```



Entry 2:
Computed, not measured: crystalline TiAsN2 at its relaxed geometry at the PBE-GGA level of DFT.

## Properties
D(E_F): 0.242 states/eV per atom

```
4
Lattice="-4.194 -4.066 -2.501 -2.213 -5.859 -1.071 -4.442 -4.518 0.485" Properties=species:S:1:pos:R:3 pbc="T T T"
N -1.161 -1.545 -0.330
N -9.688 -12.898 -2.756
As 0.000 0.000 0.000
Ti -5.424 -7.222 -1.543
```



Entry 3:
Computed, not measured: crystalline TiAs2N at its relaxed geometry at the PBE-GGA level of DFT.

## Properties
D(E_F): 0.767 states/eV per atom

```
8
Lattice="5.835 0.000 0.000 0.000 5.835 0.000 2.917 2.917 3.821" Properties=species:S:1:pos:R:3 pbc="T T T"
As 7.293 6.873 2.866
As 3.955 1.459 0.955
As 4.376 4.797 2.866
As 1.879 4.376 0.955
Ti 0.000 0.000 0.000
Ti 5.835 2.917 1.911
N 2.917 5.835 1.911
N 2.917 2.917 0.000
```



Number 1: formation energy from raw total energies -145 meV/atom, theoretical density 4.5 g cm⁻³. Number 2: formation energy from raw total energies -452 meV/atom, theoretical density 5.2 g cm⁻³. Number 3: formation energy from raw total energies 361 meV/atom, theoretical density 5.4 g cm⁻³.